VASP calculation (PBE) on crystalline Co3Cl at its relaxed geometry.

Lattice parameters (Å, degrees): 4.141 4.141 4.141 60.00 60.00 60.00
Last column: magnetic moment on the atom in μB.
Fractional coordinates of all 4 atoms:
1 Cl 0.000 0.000 0.000  0.09
2 Co 0.500 0.500 0.500  1.78
3 Co 0.750 0.750 0.750  1.71
4 Co 0.250 0.250 0.250  1.71

* formation energy from raw total energies: 728 meV/atom
* total DFT energy (no corrections): -5.06 eV/atom
* crystal system: cubic
* mass density: 7.019 g cm⁻³